(1)
Compound: AlZn5Ga4
Source: Alexandria
Functional: GGA-PBE
Structure: relaxed

a b c (Å): 8.6944 8.9846 4.4911
angles (deg): 90.00 90.00 90.00
With the nearest neighbours (Å) after each atom.
Space group Pmmn (No. 59, origin choice 2)
Asymmetric unit:
Al1 0.2500 0.2500 0.1012 (multiplicity 2)  4 Ga 2.68-2.79, 4 Zn 2.70
Zn1 0.0813 0.0089 0.2469 (multiplicity 8)  4 Zn 2.63-2.93, 1 Al 2.70, 4 Ga 2.73-2.84
Zn2 0.2500 0.7500 0.2501 (multiplicity 2)  6 Ga 2.67-2.85, 4 Zn 2.75
Ga1 0.0705 0.2500 0.6166 (multiplicity 4)  2 Al 2.68-2.79, 5 Zn 2.73-2.85
Ga2 0.2500 0.5856 0.7548 (multiplicity 4)  8 Zn 2.67-2.96, 1 Ga 2.95

(2)
Compound: HoScCoHg
Source: Alexandria
Functional: GGA-PBE
Structure: relaxed

a b c (Å): 3.3164 3.3164 7.3156
angles (deg): 90.00 90.00 90.00
With the nearest neighbours (Å) after each atom.
Space group P4mm (No. 99)
Asymmetric unit:
Ho1 0.0000 0.0000 0.0000 (multiplicity 1)  4 Co 2.91, 1 Sc 3.15, 4 Hg 3.23
Sc1 0.0000 0.0000 0.5691 (multiplicity 1)  4 Co 2.75, 4 Hg 3.04
Co1 0.5000 0.5000 0.7643 (multiplicity 1)  4 Sc 2.75, 4 Ho 2.91
Hg1 0.5000 0.5000 0.3043 (multiplicity 1)  4 Sc 3.04, 4 Ho 3.23, 4 Hg 3.32, 1 Co 3.37

(3)
Compound: PmNd4Y2Ho2
Source: Alexandria
Functional: GGA-PBE
Structure: relaxed

a b c (Å): 15.3655 5.1101 8.0863
angles (deg): 90.00 108.31 90.00
With the nearest neighbours (Å) after each atom.
Space group C2/m (No. 12)
Asymmetric unit:
Pm1 0.0000 0.0000 0.0000 (multiplicity 2)  6 Nd 3.60-3.62, 2 Y 3.61, 4 Ho 3.63
Nd1 0.0547 0.5000 0.3307 (multiplicity 4)  2 Pm 3.60, 4 Y 3.61-3.64, 2 Ho 3.62, 4 Nd 3.63-3.65
Nd2 0.2225 0.0000 0.3313 (multiplicity 4)  3 Ho 3.58-3.61, 3 Y 3.61-3.64, 1 Pm 3.62, 5 Nd 3.63-3.65
Y1 0.1116 0.0000 0.6686 (multiplicity 4)  3 Ho 3.60, 1 Pm 3.61, 7 Nd 3.61-3.64, 1 Y 3.65
Ho1 0.1679 0.5000 0.9998 (multiplicity 4)  5 Nd 3.58-3.62, 2 Ho 3.59, 3 Y 3.60, 2 Pm 3.63

(4)
Compound: LiMoSeN2
Source: Alexandria
Functional: GGA-PBE
Structure: relaxed

a b c (Å): 3.8912 3.8912 5.3021
angles (deg): 90.00 90.00 90.00
With the nearest neighbours (Å) after each atom.
Space group P4/mmm (No. 123)
Asymmetric unit:
Li1 0.0000 0.0000 0.0000 (multiplicity 1)  4 Se 2.75
Mo1 0.5000 0.5000 0.5000 (multiplicity 1)  4 N 1.95
Se1 0.5000 0.5000 0.0000 (multiplicity 1)  2 Mo 2.65, 4 Li 2.75
N1 0.0000 0.5000 0.5000 (multiplicity 2)  2 Mo 1.95

(5)
Compound: Er2Tm2N3
Source: Alexandria
Functional: GGA-PBE
Structure: relaxed

a b c (Å): 11.4097 3.4326 5.9565
angles (deg): 90.00 100.26 90.00
With the nearest neighbours (Å) after each atom.
Space group C2/m (No. 12)
Asymmetric unit:
Er1 0.1330 0.0000 0.3655 (multiplicity 4)  4 N 2.34-2.45
Tm1 0.1255 0.5000 0.8857 (multiplicity 4)  5 N 2.36-2.47
N1 0.0000 0.0000 0.0000 (multiplicity 2)  4 Tm 2.41, 2 Er 2.42
N2 0.2479 0.5000 0.2487 (multiplicity 4)  3 Er 2.34-2.45, 3 Tm 2.36-2.47

(6)
Compound: SrLa2In
Source: Alexandria
Functional: GGA-PBE
Structure: relaxed

a b c (Å): 9.4868 9.4868 6.8944
angles (deg): 90.00 90.00 90.00
With the nearest neighbours (Å) after each atom.
Space group I-42d (No. 122)
Asymmetric unit:
Sr1 0.0000 0.0000 0.0000 (multiplicity 4)  2 In 3.45, 4 La 3.75
La1 0.2071 0.2500 0.6250 (multiplicity 8)  2 In 3.20, 2 La 3.54
In1 0.0000 0.0000 0.5000 (multiplicity 4)  4 La 3.20, 2 Sr 3.45

(7)
Compound: CdSe2
Source: Alexandria
Functional: GGA-PBE
Structure: relaxed

a b c (Å): 4.3848 7.4530 9.9821
angles (deg): 90.00 90.00 90.00
With the nearest neighbours (Å) after each atom.
Space group Cmc2_1 (No. 36)
Asymmetric unit:
Cd1 0.0000 0.0748 0.0000 (multiplicity 4)  6 Se 2.78-3.07
Se1 0.0000 0.2931 0.6392 (multiplicity 4)  1 Se 2.43
Se2 0.0000 0.4083 0.8665 (multiplicity 4)  1 Se 2.43

(8)
Compound: Li2MoOs
Source: Alexandria
Functional: GGA-PBE
Structure: relaxed

a b c (Å): 2.9820 4.1639 9.4539
angles (deg): 90.00 90.00 90.00
With the nearest neighbours (Å) after each atom.
Space group Cmmm (No. 65)
Asymmetric unit:
Li1 0.0000 0.0000 0.2355 (multiplicity 4)  4 Li 2.56, 2 Os 2.68
Mo1 0.0000 0.5000 0.5000 (multiplicity 2)  4 Mo 2.56
Os1 0.0000 0.5000 0.0000 (multiplicity 2)  4 Os 2.56, 4 Li 2.68

(9)
Compound: Mg2NbHgAu
Source: Alexandria
Functional: GGA-PBE
Structure: relaxed

a b c (Å): 5.5854 5.5854 5.0419
angles (deg): 90.00 90.00 90.00
With the nearest neighbours (Å) after each atom.
Space group P4/mmm (No. 123)
Asymmetric unit:
Mg1 0.0000 0.5000 0.0000 (multiplicity 2)  2 Nb 2.79
Nb1 0.0000 0.0000 0.0000 (multiplicity 1)  2 Au 2.52, 4 Mg 2.79
Hg1 0.5000 0.5000 0.5000 (multiplicity 1)  8 Mg 3.76, 4 Au 3.95
Au1 0.0000 0.0000 0.5000 (multiplicity 1)  2 Nb 2.52

(10)
Compound: LiIn2Pd8
Source: Alexandria
Functional: GGA-PBE
Structure: relaxed

a b c (Å): 14.0545 4.1446 6.3543
angles (deg): 90.00 107.25 90.00
With the nearest neighbours (Å) after each atom.
Space group C2/m (No. 12)
Asymmetric unit:
Li1 0.0000 0.0000 0.0000 (multiplicity 2)  12 Pd 2.66-2.86
In1 0.2218 0.5000 0.6586 (multiplicity 4)  10 Pd 2.70-2.88
Pd1 0.0390 0.5000 0.7268 (multiplicity 4)  9 Pd 2.73-2.96, 1 In 2.73, 2 Li 2.86
Pd2 0.0933 0.0000 0.4513 (multiplicity 4)  1 Li 2.78, 8 Pd 2.79-2.96, 3 In 2.81-2.88
Pd3 0.1399 0.5000 0.1861 (multiplicity 4)  7 Pd 2.73-2.87, 3 In 2.81-2.88, 2 Li 2.86
Pd4 0.1731 0.0000 0.9106 (multiplicity 4)  1 Li 2.66, 3 In 2.70-2.82, 8 Pd 2.80-2.97

(11)
Compound: TmMgCuNi
Source: Alexandria
Functional: GGA-PBE
Structure: relaxed

a b c (Å): 6.4962 6.4962 6.4962
angles (deg): 90.00 90.00 90.00
With the nearest neighbours (Å) after each atom.
Space group F-43m (No. 216)
Asymmetric unit:
Tm1 0.0000 0.0000 0.0000 (multiplicity 4)  4 Ni 2.81, 4 Cu 2.81
Mg1 0.0000 0.0000 0.5000 (multiplicity 4)  4 Ni 2.81, 4 Cu 2.81
Cu1 0.2500 0.2500 0.7500 (multiplicity 4)  4 Mg 2.81, 4 Tm 2.81
Ni1 0.2500 0.2500 0.2500 (multiplicity 4)  4 Mg 2.81, 4 Tm 2.81

(12)
Compound: Li4PtRh
Source: Alexandria
Functional: GGA-PBE
Structure: relaxed

a b c (Å): 6.7038 6.7038 6.7038
angles (deg): 90.00 90.00 90.00
With the nearest neighbours (Å) after each atom.
Space group F-43m (No. 216)
Asymmetric unit:
Li1 0.1250 0.1250 0.1250 (multiplicity 16)  6 Li 2.37
Pt1 0.2500 0.2500 0.7500 (multiplicity 4)  12 Li 2.78, 4 Rh 2.90
Rh1 0.0000 0.0000 0.5000 (multiplicity 4)  12 Li 2.78, 4 Pt 2.90

(13)
Compound: CeEr14Pu
Source: Alexandria
Functional: GGA-PBE
Structure: relaxed

a b c (Å): 11.3492 6.9888 12.2159
angles (deg): 90.00 90.00 90.00
With the nearest neighbours (Å) after each atom.
Space group Amm2 (No. 38)
Asymmetric unit:
Ce1 0.0000 0.0000 0.0000 (multiplicity 2)  10 Er 3.48-3.54, 2 Pu 3.49
Er1 0.0000 0.2490 0.7519 (multiplicity 4)  8 Er 3.48-3.51, 2 Ce 3.49-3.54, 2 Pu 3.51-3.53
Er2 0.2489 0.0000 0.3371 (multiplicity 4)  1 Pu 3.46, 11 Er 3.48-3.54
Er3 0.2496 0.2493 0.5848 (multiplicity 8)  1 Pu 3.48, 10 Er 3.48-3.54, 1 Ce 3.49
Er4 0.2518 0.0000 0.8368 (multiplicity 4)  11 Er 3.47-3.54, 1 Ce 3.48
Er5 0.5000 0.0000 0.1705 (multiplicity 2)  12 Er 3.49-3.53
Er6 0.5000 0.0000 0.6706 (multiplicity 2)  12 Er 3.47-3.53
Er7 0.5000 0.2497 0.4195 (multiplicity 4)  12 Er 3.47-3.53
Pu1 0.0000 0.0000 0.5007 (multiplicity 2)  10 Er 3.46-3.53, 2 Ce 3.49

(14)
Compound: Mn2IrAu
Source: Alexandria
Functional: GGA-PBE
Structure: relaxed

a b c (Å): 5.8979 6.9480 2.9830
angles (deg): 90.00 90.00 90.00
With the nearest neighbours (Å) after each atom.
Space group Cmmm (No. 65)
Asymmetric unit:
Mn1 0.2500 0.2500 0.0000 (multiplicity 4)  4 Ir 2.72, 4 Au 2.72, 4 Mn 2.95-2.98
Ir1 0.0000 0.0000 0.5000 (multiplicity 2)  8 Mn 2.72, 2 Au 2.95, 2 Ir 2.98
Au1 0.0000 0.5000 0.5000 (multiplicity 2)  8 Mn 2.72, 2 Ir 2.95, 2 Au 2.98

(15)
Compound: Sr2CeHg4
Source: Alexandria
Functional: GGA-PBE
Structure: relaxed

a b c (Å): 5.6062 5.6062 14.4243
angles (deg): 90.00 90.00 90.00
With the nearest neighbours (Å) after each atom.
Space group I4/mmm (No. 139)
Asymmetric unit:
Sr1 0.0000 0.0000 0.2313 (multiplicity 4)  8 Hg 3.30-3.62
Ce1 0.0000 0.0000 0.5000 (multiplicity 2)  8 Hg 3.22
Hg1 0.0000 0.5000 0.1103 (multiplicity 8)  1 Hg 3.18, 2 Ce 3.22, 2 Sr 3.30

(16)
Compound: DyHo2Pa
Source: Alexandria
Functional: GGA-PBE
Structure: relaxed

a b c (Å): 3.4008 3.4008 10.1370
angles (deg): 90.00 90.00 90.00
With the nearest neighbours (Å) after each atom.
Space group P4/mmm (No. 123)
Asymmetric unit:
Dy1 0.0000 0.0000 0.0000 (multiplicity 1)  4 Dy 3.40, 8 Ho 3.61
Ho1 0.5000 0.5000 0.2659 (multiplicity 2)  4 Pa 3.38, 4 Ho 3.40, 4 Dy 3.61
Pa1 0.0000 0.0000 0.5000 (multiplicity 1)  8 Ho 3.38, 4 Pa 3.40

(17)
Compound: ErLuScMn
Source: Alexandria
Functional: GGA-PBE
Structure: relaxed

a b c (Å): 7.2535 7.2535 7.2535
angles (deg): 90.00 90.00 90.00
With the nearest neighbours (Å) after each atom.
Space group F-43m (No. 216)
Asymmetric unit:
Er1 0.0000 0.0000 0.0000 (multiplicity 4)  4 Sc 3.14, 4 Mn 3.14
Lu1 0.0000 0.0000 0.5000 (multiplicity 4)  4 Mn 3.14, 4 Sc 3.14
Sc1 0.2500 0.2500 0.2500 (multiplicity 4)  4 Er 3.14, 4 Lu 3.14
Mn1 0.2500 0.2500 0.7500 (multiplicity 4)  4 Er 3.14, 4 Lu 3.14

(18)
Compound: LiPuRuO6
Source: Alexandria
Functional: GGA-PBE
Structure: relaxed

a b c (Å): 5.2716 5.2716 9.4168
angles (deg): 90.00 90.00 120.00
With the nearest neighbours (Å) after each atom.
Space group P-31c (No. 163)
Asymmetric unit:
Li1 0.0000 0.0000 0.0000 (multiplicity 2)  6 O 2.26
Pu1 0.3333 0.6667 0.2500 (multiplicity 2)  6 O 2.04
Ru1 0.3333 0.6667 0.7500 (multiplicity 2)  6 O 1.99
O1 0.0078 0.3568 0.6365 (multiplicity 12)  1 Ru 1.99, 1 Pu 2.04

(19)
Compound: Tm2PuSb
Source: Alexandria
Functional: GGA-PBE
Structure: relaxed

a b c (Å): 3.5001 3.5001 31.6093
angles (deg): 90.00 90.00 120.00
With the nearest neighbours (Å) after each atom.
Space group R-3m (No. 166, hexagonal axes)
Asymmetric unit:
Tm1 0.0000 0.0000 0.2455 (multiplicity 6)  3 Sb 3.21, 3 Pu 3.43, 6 Tm 3.50
Pu1 0.0000 0.0000 0.0000 (multiplicity 3)  6 Tm 3.43, 6 Pu 3.50
Sb1 0.0000 0.0000 0.5000 (multiplicity 3)  6 Tm 3.21, 6 Sb 3.50

(20)
Compound: TlZnP2Cl
Source: Alexandria
Functional: GGA-PBE
Structure: relaxed

a b c (Å): 5.2859 5.2859 5.4879
angles (deg): 90.00 90.00 90.00
With the nearest neighbours (Å) after each atom.
Space group P4/mmm (No. 123)
Asymmetric unit:
Tl1 0.0000 0.0000 0.0000 (multiplicity 1)  4 P 2.64, 2 Cl 2.74
Zn1 0.5000 0.5000 0.5000 (multiplicity 1)  4 Cl 3.74, 8 P 3.81
P1 0.0000 0.5000 0.0000 (multiplicity 2)  2 Tl 2.64
Cl1 0.0000 0.0000 0.5000 (multiplicity 1)  2 Tl 2.74

Number 1: total magnetic moment 0.00 μB per cell, final energy -2.1714 eV/atom. Number 2: total magnetic moment 0.38 μB per cell, final energy -4.9433 eV/atom. Number 3: total magnetic moment 0.00 μB per cell, final energy -5.0837 eV/atom. Number 4: total magnetic moment 0.41 μB per cell, final energy -6.5316 eV/atom. Number 5: total magnetic moment 0.00 μB per cell, final energy -7.6764 eV/atom. Number 6: total magnetic moment 0.00 μB per cell, final energy -3.5456 eV/atom. Number 7: total magnetic moment 0.00 μB per cell, final energy -2.9060 eV/atom. Number 8: total magnetic moment 0.00 μB per cell, final energy -6.1550 eV/atom. Number 9: total magnetic moment 2.68 μB per cell, final energy -2.4563 eV/atom. Number 10: total magnetic moment 0.00 μB per cell, final energy -4.8104 eV/atom. Number 11: total magnetic moment 0.00 μB per cell, final energy -4.2407 eV/atom. Number 12: total magnetic moment 0.00 μB per cell, final energy -3.6453 eV/atom. Number 13: total magnetic moment 13.62 μB per cell, final energy -5.2239 eV/atom. Number 14: total magnetic moment 16.54 μB per cell, final energy -7.6268 eV/atom. Number 15: total magnetic moment 2.24 μB per cell, final energy -1.8331 eV/atom. Number 16: total magnetic moment 0.03 μB per cell, final energy -5.6866 eV/atom. Number 17: total magnetic moment 8.86 μB per cell, final energy -5.9293 eV/atom. Number 18: total magnetic moment 5.99 μB per cell, final energy -7.8920 eV/atom. Number 19: total magnetic moment 18.17 μB per cell, final energy -7.0370 eV/atom. Number 20: total magnetic moment 2.85 μB per cell, final energy -2.3068 eV/atom.